# 1
{
  "formula": "SiAu3F",
  "functional": "PBEsol",
  "state": "relaxed",
  "lattice": [[4.651, 0.000, 0.000], [0.000, 4.651, 0.000], [0.000, 0.000, 4.651]],
  "species": ["F", "Si", "Au", "Au", "Au"],
  "frac_coords": [[0.500, 0.500, 0.500], [0.000, 0.000, 0.000], [0.500, 0.000, 0.000], [0.000, 0.000, 0.500], [0.000, 0.500, 0.000]],
  "relative_energy_mev_per_atom": 0,
  "space_group": "Pm-3m, No. 221",
  "volume_a3_per_cell": 100.62,
  "dos_at_fermi_per_ev_atom": 1.50,
  "raw_formation_energy_ev_per_atom": 0.289
}

# 2
{
  "formula": "Os2RuPb",
  "functional": "PBEsol",
  "state": "relaxed",
  "lattice": [[-1.754, -2.057, -0.737], [2.484, -2.524, 1.136], [-2.540, 0.098, 5.773]],
  "species": ["Ru", "Os", "Os", "Pb"],
  "frac_coords": [[0.500, 0.500, 0.790], [0.000, 0.000, 0.003], [0.500, 0.500, 0.201], [0.000, 0.000, 0.506]],
  "space_group": "Pmm2, No. 25",
  "volume_a3_per_cell": 65.72,
  "dos_at_fermi_per_ev_atom": 0.98,
  "formation_enthalpy_0k_ev_per_atom": 0.696
}

# 3
{
  "formula": "BaLa2W",
  "functional": "PBEsol",
  "state": "relaxed",
  "lattice": [[3.168, -0.001, 0.000], [-0.046, 6.243, 0.000], [-1.561, -3.121, 5.607]],
  "species": ["W", "Ba", "La", "La"],
  "frac_coords": [[0.500, 0.000, 0.000], [0.000, 0.500, 0.000], [0.000, 0.000, 0.500], [0.500, 0.500, 0.500]],
  "relative_energy_mev_per_atom": 239,
  "space_group": "C2/m, No. 12",
  "volume_a3_per_cell": 110.89,
  "dos_at_fermi_per_ev_atom": 1.38,
  "formation_enthalpy_0k_ev_per_atom": 0.969
}

# 4
{
  "formula": "LaY",
  "functional": "PBEsol",
  "state": "relaxed",
  "lattice": [[-3.057, -4.823, 0.615], [0.054, -0.832, -6.260], [6.146, -3.824, 0.562]],
  "species": ["Y", "La", "La", "La", "La", "Y", "Y", "Y"],
  "frac_coords": [[0.750, 0.415, 0.376], [0.250, 0.082, 0.374], [0.250, 0.582, 0.126], [0.750, 0.918, 0.626], [0.750, 0.418, 0.874], [0.250, 0.085, 0.876], [0.250, 0.585, 0.624], [0.750, 0.915, 0.124]],
  "relative_energy_mev_per_atom": 42,
  "space_group": "Pnma, No. 62",
  "volume_a3_per_cell": 263.35,
  "dos_at_fermi_per_ev_atom": 1.81,
  "formation_enthalpy_0k_ev_per_atom": 0.042
}

# 5
{
  "formula": "CaZr3Hg",
  "functional": "PBEsol",
  "state": "relaxed",
  "lattice": [[4.929, 0.000, 0.000], [0.000, 4.929, 0.000], [0.000, 0.000, 4.929]],
  "species": ["Hg", "Zr", "Zr", "Ca", "Zr"],
  "frac_coords": [[0.500, 0.500, 0.500], [0.000, 0.500, 0.000], [0.500, 0.000, 0.000], [0.000, 0.000, 0.000], [0.000, 0.000, 0.500]],
  "relative_energy_mev_per_atom": 693,
  "space_group": "Pm-3m, No. 221",
  "volume_a3_per_cell": 119.76,
  "dos_at_fermi_per_ev_atom": 1.68,
  "formation_enthalpy_0k_ev_per_atom": 1.488
}

# 6
{
  "formula": "ScZn2Re",
  "functional": "PBEsol",
  "state": "relaxed",
  "lattice": [[-2.011, 1.352, -1.272], [-1.703, -3.524, -1.054], [-2.971, 0.023, 4.721]],
  "species": ["Zn", "Re", "Zn", "Sc"],
  "frac_coords": [[0.500, 0.500, 0.253], [0.000, 0.000, 0.491], [0.000, 0.000, 0.013], [0.500, 0.500, 0.743]],
  "relative_energy_mev_per_atom": 65,
  "space_group": "Pmm2, No. 25",
  "volume_a3_per_cell": 61.89,
  "dos_at_fermi_per_ev_atom": 0.38,
  "formation_enthalpy_0k_ev_per_atom": 0.067
}

# 7
{
  "formula": "Pb2Au",
  "functional": "PBEsol",
  "state": "relaxed",
  "lattice": [[-3.371, 0.820, -1.240], [-0.638, -6.029, -2.253], [-2.697, -1.969, 6.032]],
  "species": ["Pb", "Pb", "Pb", "Au", "Au", "Pb"],
  "frac_coords": [[0.500, 0.304, 0.132], [0.000, 0.196, 0.632], [0.000, 0.804, 0.368], [0.000, 0.000, 0.000], [0.500, 0.500, 0.500], [0.500, 0.696, 0.868]],
  "space_group": "Pnnm, No. 58",
  "volume_a3_per_cell": 164.30,
  "dos_at_fermi_per_ev_atom": 0.35,
  "formation_enthalpy_0k_ev_per_atom": 0.021
}

# 8
{
  "formula": "ZnFeNi2",
  "functional": "PBEsol",
  "state": "relaxed",
  "lattice": [[2.543, 0.000, 0.000], [0.000, 3.396, 0.000], [0.000, 0.000, 5.164]],
  "species": ["Fe", "Ni", "Ni", "Zn"],
  "frac_coords": [[0.500, 0.500, 0.500], [0.000, 0.000, 0.257], [0.000, 0.000, 0.743], [0.500, 0.500, 0.000]],
  "space_group": "Pmmm, No. 47",
  "volume_a3_per_cell": 44.59,
  "dos_at_fermi_per_ev_atom": 0.63,
  "formation_enthalpy_0k_ev_per_atom": -0.116
}

# 9
{
  "formula": "TaNb3Ni",
  "functional": "PBEsol",
  "state": "relaxed",
  "lattice": [[4.790, 0.000, 0.000], [0.000, 4.790, 0.000], [0.000, 0.000, 4.790]],
  "species": ["Nb", "Ta", "Nb", "Nb", "Ni"],
  "frac_coords": [[0.500, 0.000, 0.000], [0.000, 0.000, 0.000], [0.000, 0.000, 0.500], [0.000, 0.500, 0.000], [0.500, 0.500, 0.500]],
  "space_group": "Pm-3m, No. 221",
  "volume_a3_per_cell": 109.91,
  "dos_at_fermi_per_ev_atom": 2.00,
  "formation_enthalpy_0k_ev_per_atom": 1.877
}

# 10
{
  "formula": "TaHgPt2",
  "functional": "PBEsol",
  "state": "relaxed",
  "lattice": [[2.860, 0.000, 0.000], [-1.430, 4.598, 0.008], [0.000, -0.845, 5.060]],
  "species": ["Hg", "Pt", "Pt", "Ta"],
  "frac_coords": [[0.500, 0.000, 0.000], [0.256, 0.511, 0.267], [0.744, 0.489, 0.733], [0.000, 0.000, 0.500]],
  "space_group": "C2/m, No. 12",
  "volume_a3_per_cell": 66.54,
  "dos_at_fermi_per_ev_atom": 0.61,
  "formation_enthalpy_0k_ev_per_atom": -0.193
}

# 11
{
  "formula": "In2Hg",
  "functional": "PBEsol",
  "state": "relaxed",
  "lattice": [[-4.553, 1.485, -0.648], [-2.071, -0.384, -4.349], [-3.517, -3.234, -0.725]],
  "species": ["Hg", "In", "In"],
  "frac_coords": [[0.000, 0.000, 0.000], [0.750, 0.750, 0.750], [0.250, 0.250, 0.250]],
  "relative_energy_mev_per_atom": 12,
  "space_group": "Fm-3m, No. 225",
  "volume_a3_per_cell": 79.79,
  "dos_at_fermi_per_ev_atom": 0.40,
  "formation_enthalpy_0k_ev_per_atom": -0.003
}

# 12
{
  "formula": "SrAl2InFe",
  "functional": "PBEsol",
  "state": "relaxed",
  "lattice": [[4.801, 0.000, 0.000], [0.000, 5.650, 0.000], [0.000, 0.000, 5.650]],
  "species": ["Sr", "In", "Al", "Fe", "Al"],
  "frac_coords": [[0.000, 0.000, 0.000], [0.500, 0.500, 0.500], [0.000, 0.000, 0.500], [0.500, 0.000, 0.000], [0.000, 0.500, 0.000]],
  "space_group": "P4/mmm, No. 123",
  "volume_a3_per_cell": 153.25,
  "dos_at_fermi_per_ev_atom": 0.94,
  "formation_enthalpy_0k_ev_per_atom": 1.629
}

# 13
{
  "formula": "ZnIr2Cl",
  "functional": "PBEsol",
  "state": "relaxed",
  "lattice": [[-1.168, -2.063, -1.566], [4.237, -1.993, -0.492], [-2.223, -0.330, 4.648]],
  "species": ["Zn", "Ir", "Ir", "Cl"],
  "frac_coords": [[0.000, 0.000, 0.000], [0.500, 0.500, 0.500], [0.000, 0.000, 0.500], [0.500, 0.500, 0.000]],
  "relative_energy_mev_per_atom": 166,
  "space_group": "C2/m, No. 12",
  "volume_a3_per_cell": 58.50,
  "dos_at_fermi_per_ev_atom": 0.77,
  "raw_formation_energy_ev_per_atom": 0.477
}

# 14
{
  "formula": "KZnCl2",
  "functional": "PBEsol",
  "state": "relaxed",
  "lattice": [[3.532, 0.000, 0.000], [0.000, 4.978, 0.000], [0.000, 0.000, 4.978]],
  "species": ["Zn", "Cl", "Cl", "K"],
  "frac_coords": [[0.500, 0.000, 0.000], [0.000, 0.000, 0.500], [0.000, 0.500, 0.000], [0.500, 0.500, 0.500]],
  "relative_energy_mev_per_atom": 55,
  "space_group": "P4/mmm, No. 123",
  "volume_a3_per_cell": 87.52,
  "dos_at_fermi_per_ev_atom": 0.43,
  "raw_formation_energy_ev_per_atom": -0.925
}

# 15
{
  "formula": "MgFePt2",
  "functional": "PBEsol",
  "state": "relaxed",
  "lattice": [[-1.254, 0.989, 2.305], [-3.202, -1.050, -1.292], [0.643, -5.067, 2.525]],
  "species": ["Pt", "Pt", "Mg", "Fe"],
  "frac_coords": [[0.000, 0.000, 0.760], [0.000, 0.000, 0.240], [0.500, 0.500, 0.500], [0.500, 0.500, 0.000]],
  "space_group": "Pmmm, No. 47",
  "volume_a3_per_cell": 57.64,
  "dos_at_fermi_per_ev_atom": 0.55,
  "formation_enthalpy_0k_ev_per_atom": -0.439
}

# 16
{
  "formula": "MnSbAs2Br",
  "functional": "PBEsol",
  "state": "relaxed",
  "lattice": [[5.220, 0.000, 0.000], [0.000, 5.220, 0.000], [0.000, 0.000, 5.346]],
  "species": ["Sb", "As", "Br", "As", "Mn"],
  "frac_coords": [[0.000, 0.000, 0.000], [0.500, 0.000, 0.000], [0.000, 0.000, 0.500], [0.000, 0.500, 0.000], [0.500, 0.500, 0.500]],
  "space_group": "P4/mmm, No. 123",
  "volume_a3_per_cell": 145.66,
  "dos_at_fermi_per_ev_atom": 0.81,
  "raw_formation_energy_ev_per_atom": 1.010
}

# 17
{
  "formula": "ReBr4",
  "functional": "PBEsol",
  "state": "relaxed",
  "lattice": [[3.110, 0.000, 0.000], [1.555, 6.304, 0.000], [1.555, 0.000, 6.304]],
  "species": ["Br", "Br", "Br", "Re", "Br"],
  "frac_coords": [[0.733, 0.714, 0.820], [0.447, 0.820, 0.286], [0.553, 0.180, 0.714], [0.000, 0.000, 0.000], [0.267, 0.286, 0.180]],
  "space_group": "I4/m, No. 87",
  "volume_a3_per_cell": 123.59,
  "dos_at_fermi_per_ev_atom": 0.42,
  "raw_formation_energy_ev_per_atom": 0.088
}

# 18
{
  "formula": "Zr2CuHg",
  "functional": "PBEsol",
  "state": "relaxed",
  "lattice": [[3.098, 0.000, 0.000], [1.549, 2.683, 0.000], [1.549, 0.894, 9.356]],
  "species": ["Zr", "Zr", "Cu", "Hg"],
  "frac_coords": [[0.243, 0.243, 0.272], [0.757, 0.757, 0.728], [0.500, 0.500, 0.500], [0.000, 0.000, 0.000]],
  "space_group": "R-3m, No. 166",
  "volume_a3_per_cell": 77.77,
  "dos_at_fermi_per_ev_atom": 1.10,
  "formation_enthalpy_0k_ev_per_atom": 0.035
}

# 19
{
  "formula": "Ni2BiS",
  "functional": "PBEsol",
  "state": "relaxed",
  "lattice": [[4.418, 0.000, 0.000], [2.209, 3.826, 0.000], [2.209, 1.275, 3.607]],
  "species": ["Ni", "Bi", "S", "Ni"],
  "frac_coords": [[0.250, 0.250, 0.250], [0.500, 0.500, 0.500], [0.000, 0.000, 0.000], [0.750, 0.750, 0.750]],
  "relative_energy_mev_per_atom": 445,
  "space_group": "Fm-3m, No. 225",
  "volume_a3_per_cell": 60.96,
  "dos_at_fermi_per_ev_atom": 0.35,
  "raw_formation_energy_ev_per_atom": 0.213
}

# 20
{
  "formula": "Ba2LiAg",
  "functional": "PBEsol",
  "state": "relaxed",
  "lattice": [[-3.111, -1.154, -2.547], [3.636, 0.063, -4.471], [1.272, -5.540, 0.956]],
  "species": ["Li", "Ba", "Ba", "Ag"],
  "frac_coords": [[0.500, 0.500, 0.500], [0.000, 0.500, 0.000], [0.000, 0.000, 0.500], [0.500, 0.000, 0.000]],
  "relative_energy_mev_per_atom": 40,
  "space_group": "P4/mmm, No. 123",
  "volume_a3_per_cell": 138.94,
  "dos_at_fermi_per_ev_atom": 1.15,
  "formation_enthalpy_0k_ev_per_atom": -0.055
}